K2U2Se7 (PBE, relaxed); E_tot = -59.7 eV/cell; E_form (uncorrected) = -0.960 eV/atom
1.0
-6.421 1.261 -3.300
-1.889 -6.534 1.965
-0.433 1.856 7.077
U Se K
2 7 2
direct
0.233 0.013 0.767
0.767 0.987 0.233
0.498 0.248 0.028
0.543 0.854 0.457
0.972 0.248 0.502
0.502 0.752 0.972
0.457 0.146 0.543
0.000 0.000 0.000
0.028 0.752 0.498
0.236 0.500 0.236
0.764 0.500 0.764

***

SrLa3Cl (PBE, relaxed); E_tot = -21.0 eV/cell; E_form (uncorrected) = -0.547 eV/atom
1.0
5.695 0.000 0.000
0.000 5.695 0.000
0.000 0.000 5.695
La Cl Sr
3 1 1
direct
0.000 0.500 0.000
0.500 0.000 0.000
0.000 0.000 0.500
0.000 0.000 0.000
0.500 0.500 0.500

***

ZnAgOs2 (PBE, relaxed); E_tot = -44.0 eV/cell; ΔH_f (0 K) = 1.151 eV per atom
1.0
7.351 0.000 0.000
0.000 7.351 0.000
3.675 3.675 2.466
Os Zn Ag
4 2 2
direct
0.590 0.125 0.250
0.875 0.840 0.750
0.160 0.625 0.250
0.375 0.410 0.750
0.500 0.500 0.000
0.250 0.750 0.500
0.000 0.000 0.000
0.750 0.250 0.500

***

FeSiBP (PBE, relaxed); E_tot = -26.3 eV/cell; E_form (uncorrected) = -0.085 eV/atom
1.0
-2.473 -0.457 -0.792
0.267 -2.961 0.875
-2.039 1.451 5.532
B Fe P Si
1 1 1 1
direct
0.500 0.500 0.000
0.000 0.000 0.472
0.500 0.000 0.176
0.500 0.500 0.669

***

RbGa3As (PBE, relaxed); E_tot = -8.2 eV/cell; ΔH_f (0 K) = 1.303 eV per atom
1.0
-0.553 -4.130 4.026
5.025 -2.331 -1.700
2.832 3.329 3.804
Ga As Rb
3 1 1
direct
0.000 0.000 0.500
0.500 0.000 0.000
0.000 0.500 0.000
0.500 0.500 0.500
0.000 0.000 0.000

***

IrRuRh2 (PBE, relaxed); E_tot = -32.8 eV/cell; ΔH_f (0 K) = 0.020 eV per atom
1.0
-4.444 -1.190 1.027
2.551 -3.878 -0.821
0.645 -0.134 2.634
Ir Rh Ru
1 2 1
direct
0.000 0.500 0.500
0.500 0.500 0.000
0.000 0.000 0.000
0.500 0.000 0.500

***

YTeI2N (PBE, relaxed); E_tot = -19.5 eV/cell; E_form (uncorrected) = 0.300 eV/atom
1.0
5.041 0.000 0.000
0.000 5.041 0.000
0.000 0.000 4.966
I Y N Te
2 1 1 1
direct
0.000 0.500 0.000
0.500 0.000 0.000
0.500 0.500 0.500
0.000 0.000 0.000
0.000 0.000 0.500

***

Pm4SmDy10 (PBE, relaxed); E_tot = -58.4 eV/cell; ΔH_f (0 K) = 0.754 eV per atom
1.0
7.055 0.000 3.186
3.527 8.641 1.593
-0.028 0.000 9.468
Dy Pm Sm
10 4 1
direct
0.150 0.300 0.899
0.951 0.899 0.700
0.250 0.500 0.500
0.850 0.700 0.101
0.349 0.700 0.101
0.750 0.500 0.500
0.550 0.101 0.300
0.049 0.101 0.300
0.651 0.300 0.899
0.450 0.899 0.700
0.400 0.801 0.400
0.201 0.400 0.199
0.600 0.199 0.600
0.799 0.600 0.801
0.000 0.000 0.000

***

Mg3Ag2Hg (PBE, relaxed); E_tot = -24.3 eV/cell; ΔH_f (0 K) = -0.224 eV per atom
1.0
-3.782 -2.884 0.103
2.361 0.682 -4.073
7.033 -9.134 2.548
Mg Hg Ag
6 2 4
direct
0.333 0.667 0.414
0.000 0.000 0.754
0.667 0.333 0.586
0.667 0.333 0.081
0.000 0.000 0.246
0.333 0.667 0.919
0.333 0.667 0.667
0.667 0.333 0.333
0.000 0.000 0.500
0.333 0.667 0.160
0.667 0.333 0.840
0.000 0.000 0.000

***

CaTb2MgTl4 (PBE, relaxed); E_tot = -24.7 eV/cell; ΔH_f (0 K) = -0.293 eV per atom
1.0
-2.195 3.028 -3.769
-4.801 2.134 0.770
1.459 8.949 2.599
Tl Mg Ca Tb
4 1 1 2
direct
0.125 0.125 0.626
0.624 0.624 0.127
0.376 0.376 0.873
0.875 0.875 0.374
0.500 0.500 0.500
0.000 0.000 0.000
0.756 0.756 0.733
0.244 0.244 0.267

***

TaTc2Mo (PBE, relaxed); E_tot = -44.2 eV/cell; ΔH_f (0 K) = -0.199 eV per atom
1.0
3.151 0.000 0.000
0.000 3.151 0.000
0.000 0.000 6.338
Tc Mo Ta
2 1 1
direct
0.000 0.000 0.001
0.000 0.000 0.499
0.500 0.500 0.250
0.500 0.500 0.750

***

EuCuPdPb (PBE, relaxed); E_tot = -24.4 eV/cell; ΔH_f (0 K) = -0.290 eV per atom
1.0
4.955 0.000 0.000
2.478 4.292 0.000
2.478 1.431 4.046
Cu Pd Eu Pb
1 1 1 1
direct
0.250 0.250 0.250
0.750 0.750 0.750
0.000 0.000 0.000
0.500 0.500 0.500

***

LaSi2AgO6 (PBE, relaxed); E_tot = -145.8 eV/cell; E_form (uncorrected) = -2.453 eV/atom
1.0
-5.295 -3.700 -2.128
5.460 -0.624 -4.007
2.111 -4.185 5.230
Si O Ag La
4 12 2 2
direct
0.832 0.502 0.874
0.168 0.498 0.126
0.498 0.168 0.626
0.502 0.832 0.374
0.064 0.477 0.856
0.268 0.200 0.600
0.936 0.523 0.144
0.523 0.936 0.644
0.477 0.064 0.356
0.593 0.294 0.890
0.800 0.732 0.900
0.294 0.593 0.390
0.407 0.706 0.110
0.200 0.268 0.100
0.732 0.800 0.400
0.706 0.407 0.610
0.990 0.010 0.250
0.010 0.990 0.750
0.407 0.593 0.750
0.593 0.407 0.250

***

BaNaTa (PBE, relaxed); E_tot = -26.9 eV/cell; ΔH_f (0 K) = 0.546 eV per atom
1.0
3.409 -0.243 -0.056
-1.072 4.628 0.008
2.379 -0.486 14.494
Na Ba Ta
2 2 2
direct
0.182 0.219 0.611
0.593 0.727 0.782
0.859 0.696 0.386
0.899 0.253 0.007
0.225 0.203 0.217
0.533 0.746 0.176

***

Pa2Ga5Mo (PBE, relaxed); E_tot = -46.3 eV/cell; ΔH_f (0 K) = -0.170 eV per atom
1.0
-0.466 -5.835 -0.625
3.327 1.730 4.538
-5.025 2.735 1.388
Ga Pa Mo
5 2 1
direct
0.000 0.309 0.727
0.582 0.309 0.309
0.000 0.241 0.241
0.418 0.727 0.727
0.000 0.727 0.309
0.500 0.266 0.766
0.500 0.766 0.266
0.000 0.876 0.876

***

Ta3CuO (PBE, relaxed); E_tot = -46.5 eV/cell; E_form (uncorrected) = -0.379 eV/atom
1.0
4.201 0.000 0.000
0.000 4.201 0.000
0.000 0.000 4.201
Cu Ta O
1 3 1
direct
0.500 0.500 0.500
0.000 0.500 0.000
0.000 0.000 0.500
0.500 0.000 0.000
0.000 0.000 0.000

***

NaNi6As4 (PBE, relaxed); E_tot = -57.8 eV/cell; ΔH_f (0 K) = -0.294 eV per atom
1.0
-2.150 0.832 2.880
0.759 -6.417 2.420
4.431 4.943 1.881
As Ni Na
4 6 1
direct
0.500 0.817 0.633
0.000 0.333 0.667
0.500 0.367 0.183
0.500 0.817 0.183
0.500 0.205 0.795
0.500 0.205 0.409
0.000 0.922 0.461
0.000 0.539 0.461
0.500 0.591 0.795
0.000 0.539 0.078
0.000 0.000 0.000

***

BaMg2Mo (PBE, relaxed); E_tot = -13.2 eV/cell; ΔH_f (0 K) = 0.675 eV per atom
1.0
5.215 0.003 -0.003
4.282 2.977 -0.003
0.629 0.197 6.825
Mg Mo Ba
2 1 1
direct
0.007 0.007 0.926
0.752 0.752 0.719
0.490 0.490 0.585
0.250 0.250 0.270

***

HfNb2Ni9 (PBE, relaxed); E_tot = -85.2 eV/cell; ΔH_f (0 K) = -0.256 eV per atom
1.0
-1.968 -0.010 -3.138
0.223 -3.695 -0.127
-9.400 -0.770 5.898
Ni Nb Hf
9 2 1
direct
0.500 0.000 0.170
0.000 0.500 0.170
0.000 0.500 0.500
0.500 0.500 0.335
0.000 0.500 0.830
0.500 0.000 0.500
0.500 0.000 0.830
0.500 0.500 0.665
0.500 0.500 0.000
0.000 0.000 0.666
0.000 0.000 0.334
0.000 0.000 0.000

***

RbBiAsPt2 (PBE, relaxed); E_tot = -12.8 eV/cell; ΔH_f (0 K) = 1.764 eV per atom
1.0
-0.777 4.794 -1.550
-4.143 -1.730 -3.274
-3.307 0.698 3.817
Pt Rb Bi As
2 1 1 1
direct
0.500 0.000 0.000
0.000 0.000 0.500
0.000 0.000 0.000
0.500 0.500 0.500
0.000 0.500 0.000